A plane-wave DFT calculation with GGA-PBE was carried out for crystalline TmAg2GeSe4 at its relaxed geometry.

a = 8.648 Å, b = 7.572 Å, c = 7.006 Å
α = 90.00°, β = 90.00°, γ = 90.00°
Atoms (fractional coordinates):
Tm 0.000 0.167 0.000
Tm 0.500 0.833 0.500
Ag 0.244 0.303 0.537
Ag 0.256 0.697 0.037
Ag 0.744 0.697 0.037
Ag 0.756 0.303 0.537
Ge 0.000 0.819 0.512
Ge 0.500 0.181 0.012
Se 0.000 0.137 0.387
Se 0.000 0.829 0.875
Se 0.240 0.647 0.409
Se 0.260 0.353 0.909
Se 0.500 0.171 0.375
Se 0.500 0.863 0.887
Se 0.740 0.353 0.909
Se 0.760 0.647 0.409

Output
Size of the total moment in μB per formula unit: 0.00
Crystal system: orthorhombic
ΔE_f (raw) in eV per atom: -0.57
Calculated volume in Å³ per atom: 28.675